(1)
Entry from the Alexandria database: a relaxed structure of SrTe2Pt (GGA-PBE).

Calculated values
**Uncorrected formation energy**: -0.2620 eV/atom
**Volume**: 26.6 Å³/atom
**Magnetization**: 0.000 μB/f.u.
**E above lowest polymorph**: 670 meV per atom
**ρ**: 8409 kg/m3

CIF file:
```
data_SrTe2Pt
_chemical_formula_sum 'Sr1 Te2 Pt1'
_space_group_name_H-M_alt 'P 4/m m m'
_space_group_IT_number 123
_space_group_name_Hall '-P 4 2'
_cell_length_a 3.7597
_cell_length_b 3.7597
_cell_length_c 7.5147
_cell_angle_alpha 90.00
_cell_angle_beta 90.00
_cell_angle_gamma 90.00
loop_
_atom_site_label
_atom_site_type_symbol
_atom_site_fract_x
_atom_site_fract_y
_atom_site_fract_z
Sr1 Sr 0.0000 0.0000 0.0000
Te1 Te 0.5000 0.5000 0.2911
Pt1 Pt 0.0000 0.0000 0.5000
```

---

(2)
Entry from the Alexandria database: a relaxed structure of SrTe2Pt (GGA-PBE).

Calculated values
**Uncorrected formation energy**: -0.4809 eV/atom
**Volume**: 29.7 Å³/atom
**Magnetization**: 0.000 μB/f.u.
**E above lowest polymorph**: 451 meV per atom
**ρ**: 7512 kg/m3

CIF file:
```
data_SrTe2Pt
_chemical_formula_sum 'Sr4 Te8 Pt4'
_space_group_name_H-M_alt 'F m m m'
_space_group_IT_number 69
_space_group_name_Hall '-F 2 2'
_cell_length_a 6.1623
_cell_length_b 8.7652
_cell_length_c 8.8051
_cell_angle_alpha 90.00
_cell_angle_beta 90.00
_cell_angle_gamma 90.00
loop_
_atom_site_label
_atom_site_type_symbol
_atom_site_fract_x
_atom_site_fract_y
_atom_site_fract_z
Sr1 Sr 0.0000 0.0000 0.0000
Te1 Te 0.0000 0.2500 0.2500
Pt1 Pt 0.0000 0.0000 0.5000
```

---

(3)
Entry from the Alexandria database: a relaxed structure of SrTePt3 (GGA-PBE).

Calculated values
**Uncorrected formation energy**: -0.1880 eV/atom
**Volume**: 25.7 Å³/atom
**Magnetization**: 0.000 μB/f.u.
**E above lowest polymorph**: 0 meV per atom
**ρ**: 10336 kg/m3

CIF file:
```
data_SrTePt3
_chemical_formula_sum 'Sr1 Te1 Pt3'
_space_group_name_H-M_alt 'P m -3 m'
_space_group_IT_number 221
_space_group_name_Hall '-P 4 2 3'
_cell_length_a 5.0475
_cell_length_b 5.0475
_cell_length_c 5.0475
_cell_angle_alpha 90.00
_cell_angle_beta 90.00
_cell_angle_gamma 90.00
loop_
_atom_site_label
_atom_site_type_symbol
_atom_site_fract_x
_atom_site_fract_y
_atom_site_fract_z
Sr1 Sr 0.0000 0.0000 0.0000
Te1 Te 0.5000 0.5000 0.5000
Pt1 Pt 0.0000 0.5000 0.5000
```

---

(4)
Entry from the Alexandria database: a relaxed structure of SrTe3Pt (GGA-PBE).

Calculated values
**Uncorrected formation energy**: 0.9648 eV/atom
**Volume**: 43.2 Å³/atom
**Magnetization**: 0.000 μB/f.u.
**E above lowest polymorph**: 1453 meV per atom
**ρ**: 5121 kg/m3

CIF file:
```
data_SrTe3Pt
_chemical_formula_sum 'Sr1 Te3 Pt1'
_space_group_name_H-M_alt 'P m -3 m'
_space_group_IT_number 221
_space_group_name_Hall '-P 4 2 3'
_cell_length_a 5.9982
_cell_length_b 5.9982
_cell_length_c 5.9982
_cell_angle_alpha 90.00
_cell_angle_beta 90.00
_cell_angle_gamma 90.00
loop_
_atom_site_label
_atom_site_type_symbol
_atom_site_fract_x
_atom_site_fract_y
_atom_site_fract_z
Sr1 Sr 0.0000 0.0000 0.0000
Te1 Te 0.0000 0.0000 0.5000
Pt1 Pt 0.5000 0.5000 0.5000
```